Entry 1:
First-principles (PBE-GGA) data for an optimized crystal structure of FeCu2Sb, as listed in Alexandria.

**E**: -4.8815 eV per atom
**Raw formation energy**: 30.2 kJ per mole of atoms

Cell lengths 2.9676, 4.5685, 4.4982 Å; angles 90.00, 90.31, 90.00 degrees
With the nearest neighbours (Å) after each atom.
Space group P2/m (No. 10)
One atom of each set of equivalent atoms:
Fe: 0.0000 0.0000 0.0000 x1  4 Cu 2.62, 4 Sb 2.69-2.70
Cu: 0.2653 0.5000 0.2251 x2  2 Cu 2.46-2.56, 2 Fe 2.62, 2 Sb 2.69
Sb: 0.5000 0.0000 0.5000 x1  4 Cu 2.69, 4 Fe 2.69-2.70, 2 Sb 2.97

Entry 2:
First-principles (PBE-GGA) data for an optimized crystal structure of FeCu2Sb, as listed in Alexandria.

**E**: -4.8806 eV per atom
**Raw formation energy**: 30.3 kJ per mole of atoms

Cell lengths 5.2356, 9.4075, 2.9460 Å; angles 90.00, 123.64, 90.00 degrees
With the nearest neighbours (Å) after each atom.
Space group C2/m (No. 12)
One atom of each set of equivalent atoms:
Fe: 0.0000 0.0000 0.0000 x2  4 Sb 2.62-2.64, 4 Cu 2.69
Cu: 0.2500 0.2500 0.0000 x4  4 Cu 2.62-2.64, 2 Fe 2.69, 2 Sb 2.69
Sb: 0.0000 0.5000 0.0000 x2  4 Fe 2.62-2.64, 4 Cu 2.69

Entry 3:
First-principles (PBE-GGA) data for an optimized crystal structure of Fe2CuSb, as listed in Alexandria.

**E**: -5.7423 eV per atom
**Raw formation energy**: 52.5 kJ per mole of atoms

Cell lengths 2.9871, 2.9871, 23.5911 Å; angles 90.00, 90.00, 120.00 degrees
With the nearest neighbours (Å) after each atom.
Space group R-3m (No. 166, hexagonal axes)
One atom of each set of equivalent atoms:
Fe: 0.0000 0.0000 0.2454 x6  3 Cu 2.54, 3 Sb 2.70
Cu: 0.0000 0.0000 0.5000 x3  6 Fe 2.54
Sb: 0.0000 0.0000 0.0000 x3  6 Fe 2.70, 6 Sb 2.99

Entry 4:
First-principles (PBE-GGA) data for an optimized crystal structure of Fe2CuSb2, as listed in Alexandria.

**E**: -5.5954 eV per atom
**Raw formation energy**: 24.9 kJ per mole of atoms

Cell lengths 6.7250, 6.7250, 3.6360 Å; angles 90.00, 90.00, 90.00 degrees
With the nearest neighbours (Å) after each atom.
Space group P4/mbm (No. 127)
One atom of each set of equivalent atoms:
Fe: 0.1322 0.3678 0.0000 x4  1 Fe 2.51, 6 Sb 2.63-2.73, 2 Cu 2.63
Cu: 0.0000 0.0000 0.0000 x2  4 Fe 2.63
Sb: 0.1683 0.6683 0.5000 x4  6 Fe 2.63-2.73

Entry 5:
First-principles (PBE-GGA) data for an optimized crystal structure of FeCu2Sb, as listed in Alexandria.

**E**: -5.0118 eV per atom
**Raw formation energy**: 17.6 kJ per mole of atoms

Cell lengths 3.8287, 3.8287, 7.7600 Å; angles 90.00, 90.00, 90.00 degrees
With the nearest neighbours (Å) after each atom.
Space group I-4m2 (No. 119)
One atom of each set of equivalent atoms:
Fe: 0.0000 0.0000 0.0000 x2  8 Cu 2.71-2.73, 4 Sb 2.73
Cu: 0.0000 0.0000 0.5000 x2  4 Fe 2.71, 4 Sb 2.73, 4 Cu 2.73
Cu: 0.0000 0.5000 0.2500 x2  4 Sb 2.71, 4 Fe 2.73, 4 Cu 2.73
Sb: 0.0000 0.5000 0.7500 x2  8 Cu 2.71-2.73, 4 Fe 2.73

Entry 6:
First-principles (PBE-GGA) data for an optimized crystal structure of FeCu2Sb, as listed in Alexandria.

**E**: -5.0288 eV per atom
**Raw formation energy**: 16.0 kJ per mole of atoms

Cell lengths 3.8406, 3.8406, 3.9364 Å; angles 90.00, 90.00, 90.00 degrees
With the nearest neighbours (Å) after each atom.
Space group P4/mmm (No. 123)
One atom of each set of equivalent atoms:
Fe: 0.0000 0.0000 0.0000 x1  4 Sb 2.72, 8 Cu 2.75
Cu: 0.0000 0.5000 0.5000 x2  4 Cu 2.72, 4 Fe 2.75, 4 Sb 2.75
Sb: 0.5000 0.5000 0.0000 x1  4 Fe 2.72, 8 Cu 2.75

Entry 7:
First-principles (PBE-GGA) data for an optimized crystal structure of FeCu2Sb, as listed in Alexandria.

**E**: -4.7142 eV per atom
**Raw formation energy**: 46.3 kJ per mole of atoms

Cell lengths 3.6143, 3.6143, 18.6262 Å; angles 90.00, 90.00, 90.00 degrees
With the nearest neighbours (Å) after each atom.
Space group I-42d (No. 122)
One atom of each set of equivalent atoms:
Fe: 0.0000 0.0000 0.0000 x4  4 Sb 2.56, 4 Cu 2.64
Cu: 0.2334 0.2500 0.1250 x8  4 Cu 2.47-2.64, 2 Fe 2.64, 2 Sb 2.68
Sb: 0.0000 0.0000 0.5000 x4  4 Fe 2.56, 4 Cu 2.68

Entry 8:
First-principles (PBE-GGA) data for an optimized crystal structure of FeCu2Sb, as listed in Alexandria.

**E**: -4.6761 eV per atom
**Raw formation energy**: 50.0 kJ per mole of atoms

Cell lengths 2.9733, 2.9733, 25.3098 Å; angles 90.00, 90.00, 120.00 degrees
With the nearest neighbours (Å) after each atom.
Space group R-3m (No. 166, hexagonal axes)
One atom of each set of equivalent atoms:
Fe: 0.0000 0.0000 0.0000 x3  6 Cu 2.56
Cu: 0.0000 0.0000 0.2580 x6  3 Fe 2.56
Sb: 0.0000 0.0000 0.5000 x3  6 Cu 2.88, 6 Sb 2.97

Entry 9:
First-principles (PBE-GGA) data for an optimized crystal structure of Fe3CuSb, as listed in Alexandria.

**E**: -5.3175 eV per atom
**Relative energy among the computed polymorphs**: 0.000 eV/atom
**Raw formation energy**: 135.4 kJ per mole of atoms

Cell lengths 4.2601, 4.2601, 4.2601 Å; angles 90.00, 90.00, 90.00 degrees
With the nearest neighbours (Å) after each atom.
Space group Pm-3m (No. 221)
One atom of each set of equivalent atoms:
Fe: 0.0000 0.0000 0.5000 x3  2 Cu 2.13
Cu: 0.0000 0.0000 0.0000 x1  6 Fe 2.13
Sb: 0.5000 0.5000 0.5000 x1  12 Fe 3.01

Entry 10:
First-principles (PBE-GGA) data for an optimized crystal structure of Fe2CuSb, as listed in Alexandria.

**E**: -6.1079 eV per atom
**Raw formation energy**: 17.2 kJ per mole of atoms

Cell lengths 3.7944, 3.7944, 7.9228 Å; angles 90.00, 90.00, 90.00 degrees
With the nearest neighbours (Å) after each atom.
Space group I4/mmm (No. 139)
One atom of each set of equivalent atoms:
Fe: 0.0000 0.5000 0.2500 x4  4 Fe 2.68, 4 Cu 2.74, 4 Sb 2.74
Cu: 0.0000 0.0000 0.0000 x2  4 Sb 2.68, 8 Fe 2.74
Sb: 0.0000 0.0000 0.5000 x2  4 Cu 2.68, 8 Fe 2.74

Entry 11:
First-principles (PBE-GGA) data for an optimized crystal structure of Fe2CuSb, as listed in Alexandria.

**E**: -6.1063 eV per atom
**Raw formation energy**: 17.3 kJ per mole of atoms

Cell lengths 3.7940, 3.7940, 3.9944 Å; angles 90.00, 90.00, 90.00 degrees
With the nearest neighbours (Å) after each atom.
Space group P4/mmm (No. 123)
One atom of each set of equivalent atoms:
Fe: 0.0000 0.5000 0.0000 x2  4 Fe 2.68, 4 Sb 2.75, 4 Cu 2.75
Cu: 0.0000 0.0000 0.5000 x1  4 Sb 2.68, 8 Fe 2.75
Sb: 0.5000 0.5000 0.5000 x1  4 Cu 2.68, 8 Fe 2.75

Entry 12:
First-principles (PBE-GGA) data for an optimized crystal structure of Fe4CuSb, as listed in Alexandria.

**E**: -6.7778 eV per atom
**Raw formation energy**: 22.6 kJ per mole of atoms

Cell lengths 6.8737, 6.8737, 6.8737 Å; angles 90.00, 90.00, 90.00 degrees
With the nearest neighbours (Å) after each atom.
Space group F-43m (No. 216)
One atom of each set of equivalent atoms:
Fe: 0.1240 0.1240 0.3760 x16  6 Fe 2.41-2.45
Cu: 0.2500 0.2500 0.7500 x4  12 Fe 2.85, 4 Sb 2.98
Sb: 0.0000 0.0000 0.0000 x4  12 Fe 2.85, 4 Cu 2.98

Entry 13:
First-principles (PBE-GGA) data for an optimized crystal structure of FeCuTc2Sb, as listed in Alexandria.

**E**: -5.6857 eV per atom
**Raw formation energy**: 173.4 kJ per mole of atoms

Cell lengths 4.9175, 4.9175, 4.5820 Å; angles 90.00, 90.00, 90.00 degrees
With the nearest neighbours (Å) after each atom.
Space group P4/mmm (No. 123)
One atom of each set of equivalent atoms:
Fe: 0.0000 0.0000 0.0000 x1  8 Tc 3.36, 4 Cu 3.48
Cu: 0.5000 0.5000 0.0000 x1  2 Sb 2.29
Tc: 0.0000 0.5000 0.5000 x2  2 Sb 2.46
Sb: 0.5000 0.5000 0.5000 x1  2 Cu 2.29, 4 Tc 2.46

Entry 14:
First-principles (PBE-GGA) data for an optimized crystal structure of FeCuSbTe2, as listed in Alexandria.

**E**: -3.9363 eV per atom
**Relative energy among the computed polymorphs**: 0.000 eV/atom
**Raw formation energy**: 63.4 kJ per mole of atoms

Cell lengths 5.1221, 5.1221, 4.8598 Å; angles 90.00, 90.00, 90.00 degrees
With the nearest neighbours (Å) after each atom.
Space group P4/mmm (No. 123)
One atom of each set of equivalent atoms:
Fe: 0.0000 0.0000 0.0000 x1  2 Sb 2.43, 4 Te 2.56
Cu: 0.5000 0.5000 0.5000 x1  8 Te 3.53, 4 Sb 3.62
Sb: 0.0000 0.0000 0.5000 x1  2 Fe 2.43
Te: 0.0000 0.5000 0.0000 x2  2 Fe 2.56

Entry 15:
First-principles (PBE-GGA) data for an optimized crystal structure of FeCuSb2Te, as listed in Alexandria.

**E**: -4.1689 eV per atom
**Relative energy among the computed polymorphs**: 0.000 eV/atom
**Raw formation energy**: 59.8 kJ per mole of atoms

Cell lengths 4.7526, 4.7526, 5.4397 Å; angles 90.00, 90.00, 90.00 degrees
With the nearest neighbours (Å) after each atom.
Space group P4/mmm (No. 123)
One atom of each set of equivalent atoms:
Fe: 0.0000 0.0000 0.0000 x1  4 Sb 2.38
Cu: 0.5000 0.5000 0.5000 x1  4 Te 3.36, 8 Sb 3.61
Sb: 0.0000 0.5000 0.0000 x2  2 Fe 2.38
Te: 0.0000 0.0000 0.5000 x1  2 Fe 2.72

Entry 16:
First-principles (PBE-GGA) data for an optimized crystal structure of TiFeCuSb2, as listed in Alexandria.

**E**: -5.2532 eV per atom
**Raw formation energy**: 46.9 kJ per mole of atoms

Cell lengths 4.8415, 4.8415, 4.4182 Å; angles 90.00, 90.00, 90.00 degrees
With the nearest neighbours (Å) after each atom.
Space group P4/mmm (No. 123)
One atom of each set of equivalent atoms:
Ti: 0.0000 0.0000 0.0000 x1  2 Fe 2.21
Fe: 0.0000 0.0000 0.5000 x1  2 Ti 2.21, 4 Sb 2.42
Cu: 0.5000 0.5000 0.0000 x1  8 Sb 3.28, 4 Ti 3.42
Sb: 0.0000 0.5000 0.5000 x2  2 Fe 2.42

Entry 17:
First-principles (PBE-GGA) data for an optimized crystal structure of Y2FeCuSb, as listed in Alexandria.

**E**: -5.9048 eV per atom
**Raw formation energy**: 1.6 kJ per mole of atoms

Cell lengths 5.1473, 5.1473, 4.6942 Å; angles 90.00, 90.00, 90.00 degrees
With the nearest neighbours (Å) after each atom.
Space group P4/mmm (No. 123)
One atom of each set of equivalent atoms:
Y: 0.0000 0.5000 0.0000 x2  2 Fe 2.57
Fe: 0.0000 0.0000 0.0000 x1  2 Sb 2.35, 4 Y 2.57
Cu: 0.5000 0.5000 0.5000 x1  8 Y 3.48, 4 Sb 3.64
Sb: 0.0000 0.0000 0.5000 x1  2 Fe 2.35

Entry 18:
First-principles (PBE-GGA) data for an optimized crystal structure of ScFeCu3, as listed in Alexandria.

**E**: -4.8371 eV per atom
**Formation energy from the elements**: 2.90 eV per formula unit
**Relative energy among the computed polymorphs**: 0.000 eV/atom

Cell lengths 4.4227, 4.4227, 4.4227 Å; angles 90.00, 90.00, 90.00 degrees
With the nearest neighbours (Å) after each atom.
Space group Pm-3m (No. 221)
One atom of each set of equivalent atoms:
Sc: 0.0000 0.0000 0.0000 x1  12 Cu 3.13
Fe: 0.5000 0.5000 0.5000 x1  6 Cu 2.21
Cu: 0.0000 0.5000 0.5000 x3  2 Fe 2.21

Entry 19:
First-principles (PBE-GGA) data for an optimized crystal structure of ScFeCu2, as listed in Alexandria.

**E**: -5.5031 eV per atom
**Formation energy from the elements**: 0.97 eV per formula unit

Cell lengths 2.8321, 2.8321, 25.3183 Å; angles 90.00, 90.00, 120.00 degrees
With the nearest neighbours (Å) after each atom.
Space group R3m (No. 160, hexagonal axes)
One atom of each set of equivalent atoms:
Sc: 0.0000 0.0000 0.0000 x3  3 Fe 2.76, 3 Cu 2.82, 6 Sc 2.83
Fe: 0.0000 0.0000 0.7545 x3  3 Cu 2.55, 3 Sc 2.76, 6 Fe 2.83
Cu: 0.0000 0.0000 0.2426 x3  9 Cu 2.55-2.83, 3 Sc 2.82
Cu: 0.0000 0.0000 0.4985 x3  3 Fe 2.55, 9 Cu 2.55-2.83

Entry 20:
First-principles (PBE-GGA) data for an optimized crystal structure of Sc2FeCu, as listed in Alexandria.

**E**: -6.2509 eV per atom
**Formation energy from the elements**: 0.22 eV per formula unit
**Relative energy among the computed polymorphs**: 0.257 eV/atom

Cell lengths 3.4499, 3.4499, 5.8953 Å; angles 90.00, 90.00, 90.00 degrees
With the nearest neighbours (Å) after each atom.
Space group P4mm (No. 99)
One atom of each set of equivalent atoms:
Sc: 0.0000 0.0000 0.0000 x1  1 Cu 2.61, 4 Fe 2.65
Sc: 0.5000 0.5000 0.3554 x1  4 Cu 2.72, 1 Fe 2.76
Fe: 0.5000 0.5000 0.8228 x1  5 Sc 2.65-2.76, 4 Cu 2.90
Cu: 0.0000 0.0000 0.5577 x1  5 Sc 2.61-2.72, 4 Fe 2.90